#one
Compound: CrS2ClO
Source: Alexandria via LeMat-Bulk
Functional: GGA+U
Structure: optimized geometry

Unit cell a=3.867 b=3.867 c=6.085 alpha=90.00 beta=90.00 gamma=90.00
Space group P4/mmm (No. 123)
Symmetry-distinct sites (fractional):
1 Cr 0.000 0.000 0.000 [1 per cell]
2 S 0.000 0.500 0.500 [2 per cell]
3 Cl 0.500 0.500 0.000 [1 per cell]
4 O 0.500 0.500 0.500 [1 per cell]

Calculated values
The total magnetic moment is 3.81 μB/f.u. The value obtained for the calculated volume is 18.199 Å³ per atom.

---

#two
Compound: CrS2ClO
Source: Alexandria via LeMat-Bulk
Functional: GGA+U
Structure: optimized geometry

Unit cell a=4.385 b=4.385 c=4.617 alpha=90.00 beta=90.00 gamma=90.00
Space group P4/mmm (No. 123)
Symmetry-distinct sites (fractional):
1 Cr 0.000 0.000 0.000 [1 per cell]
2 S 0.000 0.500 0.000 [2 per cell]
3 Cl 0.000 0.000 0.500 [1 per cell]
4 O 0.500 0.500 0.500 [1 per cell]

Calculated values
The total magnetic moment is 0.00 μB/f.u. The value obtained for the calculated volume is 17.756 Å³ per atom.

---

Most stable structure among those shown: #one. Next: +774 meV/atom.